# V4GeRh PBE relaxed
data_V4GeRh
_symmetry_space_group_name_H-M 'P 1'
_symmetry_Int_Tables_number 1
_cell_length_a 6.9305
_cell_length_b 6.9305
_cell_length_c 4.9089
_cell_angle_alpha 109.93
_cell_angle_beta 109.93
_cell_angle_gamma 52.88
loop_
_symmetry_equiv_pos_as_xyz
'x,y,z'
loop_
_atom_site_label
_atom_site_fract_x
_atom_site_fract_y
_atom_site_fract_z
V1 0.0751 0.6607 0.3724
V2 0.1770 0.8230 0.0000
V3 0.3110 0.3110 0.8156
V4 0.3393 0.9249 0.6276
V5 0.6607 0.0751 0.3724
V6 0.6890 0.6890 0.1844
V7 0.8230 0.1770 0.0000
V8 0.9249 0.3393 0.6276
Ge1 0.4996 0.4996 0.2649
Ge2 0.5004 0.5004 0.7351
Rh1 0.2064 0.2064 0.2046
Rh2 0.7936 0.7936 0.7954
# - calculated formation energy (kJ/mol of formula units) = 47
# - crystal system = monoclinic
# - DOS at the Fermi energy (states/eV/f.u.) = 6.32
# - size of the total moment (μB/f.u.) = 0.0